Record 1
CaTl2RhF6 after structural relaxation, computed with PBE.

Geometry as extended XYZ:
```
20
Lattice="6.101 0.000 0.000 0.000 6.107 0.000 0.000 0.000 9.337" Properties=species:S:1:pos:R:3 pbc="T T T"
Ca 0.000 4.573 4.668
Ca 3.050 1.534 0.000
Tl 3.050 4.587 2.331
Tl 0.000 1.520 7.000
Tl 3.050 4.587 7.005
Tl 0.000 1.520 2.337
Rh 3.050 1.520 4.668
Rh 0.000 4.587 0.000
F 3.050 1.520 2.239
F 3.050 1.520 7.098
F 0.000 4.588 2.429
F 0.000 4.588 6.907
F 1.588 0.058 4.668
F 4.512 0.058 4.668
F 1.587 2.981 4.668
F 4.514 2.981 4.668
F 4.638 3.126 0.000
F 1.463 3.126 0.000
F 1.462 6.049 0.000
F 4.639 6.049 0.000
```

Calculated values
The total moment comes out at 0.091 μB/atom. The space group is Pmmn (59). As for the formation energy from raw total energies: -2.20 eV/atom. The calculation puts the uncorrected energy at -4.735 eV per atom.

---

Record 2
SmGe3Pd after structural relaxation, computed with PBE.

Geometry as extended XYZ:
```
10
Lattice="-5.379 -1.915 0.251 2.079 -4.960 -2.171 0.966 -1.994 5.479" Properties=species:S:1:pos:R:3 pbc="T T T"
Sm 0.994 -5.096 2.752
Sm -3.328 -3.772 0.808
Ge -0.925 -7.363 3.731
Ge -0.964 -2.422 2.348
Ge -0.240 -4.007 0.178
Ge -1.409 -1.505 -0.172
Ge -2.094 -4.861 3.381
Ge -1.370 -6.446 1.211
Pd -4.358 -3.958 4.109
Pd 2.024 -4.911 -0.550
```

Calculated values
The total moment comes out at 0.000 μB/atom. The space group is P2_1/m (11). The value obtained for the energy of formation from the pure elements is -539 meV/atom. The calculation puts the uncorrected energy at -5.292 eV per atom.

---

Record 3
Na3SiAu4 after structural relaxation, computed with PBE.

Geometry as extended XYZ:
```
32
Lattice="5.915 0.000 0.000 0.000 8.900 0.000 0.000 0.000 13.919" Properties=species:S:1:pos:R:3 pbc="T T T"
Na 4.724 6.675 0.525
Na 5.480 0.465 2.503
Na 5.480 3.986 2.503
Na 2.522 4.915 4.457
Na 2.522 8.436 4.457
Na 1.767 2.225 6.434
Na 4.149 6.675 7.485
Na 3.393 0.465 9.462
Na 3.393 3.986 9.462
Na 0.435 4.915 11.416
Na 0.435 8.436 11.416
Na 1.191 2.225 13.394
Si 2.856 2.225 2.395
Si 5.814 6.675 4.565
Si 0.101 2.225 9.354
Si 3.059 6.675 11.524
Au 4.064 2.225 0.205
Au 2.307 4.373 1.368
Au 2.307 0.077 1.368
Au 4.006 2.225 4.493
Au 1.048 6.675 2.466
Au 5.265 8.824 5.592
Au 5.265 4.527 5.592
Au 1.106 6.675 6.754
Au 4.809 2.225 7.165
Au 0.650 4.373 8.327
Au 0.650 0.077 8.327
Au 4.867 2.225 11.453
Au 1.909 6.675 9.426
Au 3.608 8.824 12.551
Au 3.608 4.527 12.551
Au 1.852 6.675 13.714
```

Calculated values
The total moment comes out at 0.000 μB/atom. The space group is Pnma (62). As for the energy above the most stable polymorph in this dataset: 0 meV per atom. As for the formation energy from raw total energies: -0.29 eV/atom. The calculation puts the uncorrected energy at -3.105 eV per atom.

---

Record 4
YTm2Zn4 after structural relaxation, computed with PBE.

Geometry as extended XYZ:
```
7
Lattice="5.692 0.033 -1.983 -2.827 4.907 -2.062 0.019 -0.033 6.027" Properties=species:S:1:pos:R:3 pbc="T T T"
Y 0.000 0.000 0.000
Tm 1.432 2.470 -2.022
Tm 2.856 0.000 2.022
Zn 2.846 0.017 -0.991
Zn 1.442 2.454 0.991
Zn 0.010 -0.017 3.014
Zn -1.414 2.454 -1.031
```

Calculated values
The total moment comes out at 0.000 μB/atom. The space group is I4/mmm (139). The value obtained for the energy of formation from the pure elements is -181 meV/atom. The calculation puts the uncorrected energy at -3.110 eV per atom.

---

Record 5
YMo3 after structural relaxation, computed with PBE.

Geometry as extended XYZ:
```
4
Lattice="2.871 0.001 0.000 -1.008 2.688 0.000 0.000 0.000 9.395" Properties=species:S:1:pos:R:3 pbc="T T T"
Mo 0.000 0.000 9.142
Mo 0.000 0.000 4.950
Mo 0.931 1.345 7.046
Y 0.931 1.345 2.349
```

Calculated values
The total moment comes out at 0.000 μB/atom. The space group is Cmmm (65). The value obtained for the energy of formation from the pure elements is 327 meV/atom. As for the energy above the most stable polymorph in this dataset: 72 meV per atom. The calculation puts the uncorrected energy at -9.412 eV per atom.

---

Record 6
CdIn2Re after structural relaxation, computed with PBE.

Geometry as extended XYZ:
```
4
Lattice="-3.067 5.507 3.753 -4.649 3.315 4.605 2.002 0.234 4.319" Properties=species:S:1:pos:R:3 pbc="T T T"
Re -2.819 4.495 6.322
In 1.946 0.284 4.342
In -4.901 7.337 9.766
Cd -0.795 1.703 2.903
```

Calculated values
The total moment comes out at 0.000 μB/atom. The space group is Imm2 (44). The value obtained for the energy of formation from the pure elements is 358 meV/atom. The calculation puts the uncorrected energy at -4.352 eV per atom.

---

Record 7
Mg2TlPd2 after structural relaxation, computed with PBE.

Geometry as extended XYZ:
```
5
Lattice="4.146 0.000 0.000 0.000 4.146 0.000 2.073 2.073 5.993" Properties=species:S:1:pos:R:3 pbc="T T T"
Tl 0.000 0.000 0.000
Mg 4.146 2.073 2.997
Mg 2.073 4.146 2.997
Pd 2.073 2.073 1.324
Pd 4.146 4.146 4.670
```

Calculated values
The total moment comes out at 0.000 μB/atom. The space group is I4/mmm (139). The value obtained for the energy of formation from the pure elements is -278 meV/atom. The calculation puts the uncorrected energy at -3.466 eV per atom.

---

Record 8
InHg3S4 after structural relaxation, computed with PBE.

Geometry as extended XYZ:
```
8
Lattice="-5.381 -1.556 -2.306 -1.553 -2.485 5.301 -2.308 5.300 1.808" Properties=species:S:1:pos:R:3 pbc="T T T"
S -4.232 1.749 4.814
S -5.806 -1.763 2.706
S -6.192 2.225 0.917
S -2.254 0.307 1.171
Hg -1.930 1.408 3.555
Hg -3.467 -2.021 1.498
Hg -3.844 1.872 -0.249
In 0.000 0.000 0.000
```

Calculated values
The total moment comes out at 0.000 μB/atom. The space group is P-43m (215). As for the energy above the most stable polymorph in this dataset: 4 meV per atom. As for the formation energy from raw total energies: -0.19 eV/atom. The calculation puts the uncorrected energy at -2.712 eV per atom.